Material: KMoF3
Method: DFT, PBE+U
State: optimized geometry

Computed properties:
The density of states at the Fermi level comes out at 2.19 states/eV/atom. The raw total energy comes out at -3.81 eV per atom.

CIF file:
```
data_KMoF3
_chemical_formula_sum 'K1 Mo1 F3'
_symmetry_space_group_name_H-M 'P 1'
_symmetry_Int_Tables_number 1
_cell_length_a 4.6602
_cell_length_b 4.6602
_cell_length_c 4.6602
_cell_angle_alpha 90.00
_cell_angle_beta 90.00
_cell_angle_gamma 90.00
loop_
_symmetry_equiv_pos_as_xyz
'x,y,z'
loop_
_atom_site_label
_atom_site_fract_x
_atom_site_fract_y
_atom_site_fract_z
K1 0.0000 0.0000 0.0000
Mo1 0.5000 0.5000 0.5000
F1 0.0000 0.0000 0.5000
F2 0.0000 0.5000 0.0000
F3 0.5000 0.0000 0.0000
```